[1]
VASP calculation (PBE) on a relaxed Cd8HgBi2 crystal.

Its formation energy is 55 meV per atom. The final energy comes out at -1.34 eV/atom.

It has space group C2/m (No. 12), with a = 13.414 Å, b = 6.141 Å, c = 7.303 Å, α = 90.00°, β = 110.74° and γ = 90.00°. The distinct sites, in fractional coordinates, are Cd at (0.073, 0.241, 0.206), Cd at (0.104, 0.000, 0.684), Cd at (0.234, 0.500, 0.535), Hg at (0.000, 0.500, 0.500) and Bi at (0.182, 0.500, 0.946).

[2]
VASP calculation (PBE) on a relaxed Re2TcSnB crystal.

Its formation energy is 782 meV per atom. The final energy comes out at -8.41 eV/atom.

It has space group P4/mmm (No. 123), with a = 4.090 Å, b = 4.090 Å, c = 4.563 Å, α = 90.00°, β = 90.00° and γ = 90.00°. The distinct sites, in fractional coordinates, are Re at (0.000, 0.500, 0.000), Tc at (0.000, 0.000, 0.500), Sn at (0.500, 0.500, 0.500) and B at (0.500, 0.500, 0.000).

[3]
VASP calculation (PBE) on a relaxed Re2TcAs crystal.

Its formation energy is 435 meV per atom. The final energy comes out at -9.54 eV/atom.

It has space group I4/mmm (No. 139), with a = 3.763 Å, b = 3.763 Å, c = 8.405 Å, α = 90.00°, β = 90.00° and γ = 90.00°. The distinct sites, in fractional coordinates, are Re at (0.000, 0.500, 0.250), Tc at (0.000, 0.000, 0.000) and As at (0.000, 0.000, 0.500).

[4]
VASP calculation (PBE) on a relaxed Zr3Cu crystal.

Its formation energy is 119 meV per atom. The final energy comes out at -7.32 eV/atom.

It has space group R-3m (No. 166, hexagonal axes), with a = 9.5537 Å, b = 9.5537 Å, c = 3.0897 Å, α = 90.00°, β = 90.00° and γ = 120.00°. The distinct sites, in fractional coordinates, are Zr at (0.0000, 0.5000, 0.0000) and Cu at (0.0000, 0.0000, 0.0000).

[5]
VASP calculation (PBE) on a relaxed Rb4CrPd2 crystal.

Its formation energy is 648 meV per atom. The final energy comes out at -2.76 eV/atom.

It has space group I4/mmm (No. 139), with a = 6.702 Å, b = 6.702 Å, c = 15.740 Å, α = 90.00°, β = 90.00° and γ = 90.00°. The distinct sites, in fractional coordinates, are Rb at (0.000, 0.000, 0.228), Rb at (0.000, 0.500, 0.000), Cr at (0.000, 0.000, 0.000) and Pd at (0.000, 0.000, 0.417).

[6]
VASP calculation (PBE) on a relaxed LiLaBi3 crystal.

Its formation energy is 271 meV per atom. The final energy comes out at -3.43 eV/atom.

It has space group Pm-3m (No. 221), with a = 6.181 Å, b = 6.181 Å, c = 6.181 Å, α = 90.00°, β = 90.00° and γ = 90.00°. The distinct sites, in fractional coordinates, are Li at (0.000, 0.000, 0.000), La at (0.500, 0.500, 0.500) and Bi at (0.000, 0.500, 0.500).

[7]
VASP calculation (PBE) on a relaxed LiCdIn2Hg2 crystal.

Its formation energy is -107 meV per atom. The final energy comes out at -1.59 eV/atom.

It has space group Pmc2_1 (No. 26), with a = 4.704 Å, b = 9.624 Å, c = 6.249 Å, α = 90.00°, β = 90.00° and γ = 90.00°. The distinct sites, in fractional coordinates, are Li at (0.000, 0.171, 0.000), Cd at (0.500, 0.003, 0.257), In at (0.000, 0.479, 0.422), In at (0.500, 0.324, 0.698), Hg at (0.000, 0.133, 0.505) and Hg at (0.500, 0.316, 0.183).

[8]
VASP calculation (PBE) on a relaxed Ho2TmF crystal.

Its uncorrected formation energy is -1133 meV/atom. The final energy comes out at -5.01 eV/atom.

It has space group R-3m (No. 166, hexagonal axes), with a = 3.6515 Å, b = 3.6515 Å, c = 25.0602 Å, α = 90.00°, β = 90.00° and γ = 120.00°. The distinct sites, in fractional coordinates, are Ho at (0.0000, 0.0000, 0.2234), Tm at (0.0000, 0.0000, 0.0000) and F at (0.0000, 0.0000, 0.5000).

[9]
VASP calculation (PBE) on a relaxed PuPa2SiN6 crystal.

Its uncorrected formation energy is -975 meV/atom. The final energy comes out at -9.84 eV/atom.

It has space group P4mm (No. 99), with a = 5.213 Å, b = 5.213 Å, c = 5.041 Å, α = 90.00°, β = 90.00° and γ = 90.00°. The distinct sites, in fractional coordinates, are Pu at (0.000, 0.000, 0.000), Pa at (0.000, 0.500, 0.451), Si at (0.500, 0.500, 0.040), N at (0.000, 0.000, 0.566), N at (0.267, 0.267, 0.179) and N at (0.500, 0.500, 0.687).

[10]
VASP calculation (PBE) on a relaxed Sc3AlO crystal.

Its uncorrected formation energy is -1370 meV/atom. The final energy comes out at -6.91 eV/atom.

It has space group P2/m (No. 10), with a = 3.292 Å, b = 4.272 Å, c = 6.175 Å, α = 90.00°, β = 90.14° and γ = 90.00°. The distinct sites, in fractional coordinates, are Sc at (0.000, 0.000, 0.000), Sc at (0.499, 0.500, 0.749), Al at (0.000, 0.000, 0.500) and O at (0.000, 0.500, 0.000).

[11]
VASP calculation (PBE) on a relaxed Pm2EuCo crystal.

Its formation energy is 31 meV per atom. The final energy comes out at -6.69 eV/atom.

It has space group P4/mmm (No. 123), with a = 3.514 Å, b = 3.514 Å, c = 9.437 Å, α = 90.00°, β = 90.00° and γ = 90.00°. The distinct sites, in fractional coordinates, are Pm at (0.000, 0.000, 0.175), Eu at (0.500, 0.500, 0.500) and Co at (0.500, 0.500, 0.000).

[12]
VASP calculation (PBE) on a relaxed La5Th3H12 crystal.

The final energy comes out at -4.78 eV/atom.

It has space group Ia-3d (No. 230), with a = 13.782 Å, b = 13.782 Å, c = 13.782 Å, α = 90.00°, β = 90.00° and γ = 90.00°. The distinct sites, in fractional coordinates, are La at (0.000, 0.000, 0.000), La at (0.000, 0.250, 0.375), Th at (0.000, 0.250, 0.125) and H at (0.002, 0.076, 0.155).

Sequential M_tot output: 0.00 0.00 0.00 0.00 5.13 0.00 0.00 0.00 4.00 0.00 8.43 0.00 μB/f.u.